# 1
An optimized crystal structure of Sr2CeAu6. Source: the Alexandria database, functional GGA-PBE.

```
Sr2CeAu6
1.0
8.345 0.000 0.000
-4.172 7.227 0.000
0.000 0.000 3.756
Sr Ce Au
2 1 6
Cartesian
0.000 4.818 0.000
4.172 2.409 0.000
0.000 0.000 0.000
-1.383 2.396 1.878
-2.789 4.831 1.878
2.767 0.000 1.878
1.383 2.396 1.878
5.578 0.000 1.878
2.789 4.831 1.878
```

Values from the calculation:
spin magnetization	1.3	μB per formula unit
E_form	-66.61	kJ/mol of atoms

***

# 2
An optimized crystal structure of TmPuSc4. Source: the Alexandria database, functional GGA-PBE.

```
TmPuSc4
1.0
1.650 -8.630 0.000
1.650 8.630 0.000
0.000 0.000 10.694
Tm Pu Sc
2 2 8
Cartesian
1.650 4.794 5.347
1.650 -4.794 0.000
1.650 2.837 7.994
1.650 -2.837 2.647
1.650 -8.625 2.711
1.650 8.625 8.058
1.650 6.781 0.028
1.650 2.844 2.717
1.650 0.943 0.023
1.650 -0.943 5.370
1.650 -2.844 8.064
1.650 -6.781 5.375
```

Values from the calculation:
spin magnetization	5.7	μB per formula unit
E_form	4.44	kJ/mol of atoms